1.
Density functional theory data (PBE) for crystalline La5PmNd6 at its relaxed geometry.

Geometry as extended XYZ:
```
12
Lattice="-10.0255 6.4943 -2.6891 -3.7961 -4.6595 -2.2687 -3.8591 -3.2315 3.9992" Properties=species:S:1:pos:R:3 pbc="T T T"
Nd -8.5572 -4.8100 -0.0826
Nd -9.1234 3.4132 -0.8760
Nd -6.0029 -2.1785 -0.6662
Nd -10.3762 1.3825 -3.7210
Nd -11.6777 0.7816 -0.2924
Nd -3.4453 0.4523 -1.2367
La -2.5529 -2.6309 0.5799
La -5.1023 -5.2602 1.1506
La -8.2200 0.3153 0.9482
La -9.4607 -1.7122 -1.9068
La -6.9108 0.9174 -2.4789
Pm 0.0000 0.0000 0.0000
```

Values from the calculation:
ΔH_f (0 K) (eV per atom): 0.012
Space group: C2/m
Crystal system: monoclinic

2.
Density functional theory data (PBE) for crystalline Li2Pr2YGe2 at its relaxed geometry.

Geometry as extended XYZ:
```
7
Lattice="-2.0083 -2.4462 3.1288 -1.2321 -4.1818 -0.8951 7.6351 -5.4347 3.8168" Properties=species:S:1:pos:R:3 pbc="T T T"
Ge 3.8920 -9.2676 4.7480
Ge 0.5027 -2.7951 1.3026
Li -0.7296 -4.9481 1.9935
Li 5.1243 -7.1146 4.0571
Pr -0.0394 -7.8126 3.3621
Pr 4.4342 -4.2501 2.6885
Y 0.0000 0.0000 0.0000
```

Values from the calculation:
ΔH_f (0 K) (eV per atom): -0.497
Space group: R-3m
Crystal system: trigonal

3.
Density functional theory data (PBE) for crystalline Ac2AuF8 at its relaxed geometry.

Geometry as extended XYZ:
```
11
Lattice="3.9812 0.0000 -1.5610 -0.9417 5.0940 -2.4016 0.7722 0.2653 7.8269" Properties=species:S:1:pos:R:3 pbc="T T T"
F 4.4280 1.4731 5.4359
F 2.8971 3.6416 1.5314
F -0.6162 3.8862 -1.5715
F 1.7512 0.5000 4.4663
F 0.9147 1.7177 2.3329
F 2.1519 2.0110 -0.3692
F 1.6599 3.3482 4.2336
F 2.0606 4.8592 -0.6020
Ac 3.5250 1.8929 3.1329
Ac 0.2868 3.4663 0.7314
Au 1.9906 0.0000 -0.7805
```

Values from the calculation:
Space group: C2/m
Formation energy (no corrections) (eV per atom): -3.2237
Crystal system: monoclinic

no.,VASP energy (eV for the cell shown),density of states at the Fermi level (states/eV per atom)
1,-57.846,1.76
2,-32.562,0.68
3,-61.925,0.01